(1)
{"formula": "SrCu2Te2", "functional": "PBE", "state": "relaxed", "formation_energy_uncorrected_ev_per_atom": -0.1546, "rho_g_cm3": 6.1, "vol_a3_per_cell": 257.0, "lattice_angstrom": [[-3.851, -5.282, 4.990], [7.146, -1.730, 3.683], [-0.608, 2.801, 2.495]], "species": ["Cu", "Cu", "Cu", "Cu", "Sr", "Sr", "Te", "Te", "Te", "Te"], "frac_coords": [[0.108, 0.608, 0.500], [0.892, 0.392, 0.500], [0.392, 0.108, 0.500], [0.608, 0.892, 0.500], [0.000, 0.000, 0.000], [0.500, 0.500, 0.000], [0.346, 0.846, 0.000], [0.654, 0.154, 0.000], [0.846, 0.654, 0.000], [0.154, 0.346, 0.000]]}


(2)
{"formula": "SrCu2Te", "functional": "PBE", "state": "relaxed", "formation_energy_uncorrected_ev_per_atom": -0.0870, "rho_g_cm3": 6.2, "vol_a3_per_cell": 91.9, "lattice_angstrom": [[-2.826, 1.196, -3.237], [-2.337, -3.734, 0.660], [-2.629, 2.194, 3.106]], "species": ["Te", "Cu", "Cu", "Sr"], "frac_coords": [[0.000, 0.500, 0.500], [0.500, 0.500, 0.000], [0.000, 0.000, 0.000], [0.500, 0.000, 0.500]]}


(3)
{"formula": "SrCu2Te", "functional": "PBE", "state": "relaxed", "formation_energy_uncorrected_ev_per_atom": -0.0155, "rho_g_cm3": 6.1, "vol_a3_per_cell": 93.0, "lattice_angstrom": [[-4.350, 3.382, -2.288], [-4.845, -2.605, -2.310], [3.261, -0.288, 4.988]], "species": ["Sr", "Te", "Cu", "Cu"], "frac_coords": [[0.500, 0.500, 0.000], [0.750, 0.250, 0.500], [0.000, 0.000, 0.000], [0.250, 0.750, 0.500]]}


(4)
{"formula": "SrCu2Te2", "functional": "PBE", "state": "relaxed", "formation_energy_uncorrected_ev_per_atom": -0.3930, "rho_g_cm3": 6.4, "vol_a3_per_cell": 122.5, "lattice_angstrom": [[5.148, 0.000, 0.000], [0.000, 5.148, 0.000], [2.574, 2.574, 4.624]], "species": ["Cu", "Cu", "Te", "Te", "Sr"], "frac_coords": [[0.360, 0.360, 0.279], [0.640, 0.640, 0.721], [0.250, 0.750, 0.500], [0.750, 0.250, 0.500], [0.000, 0.000, 0.000]]}


(5)
{"formula": "Sr3Cu5Te12", "functional": "PBE", "state": "relaxed", "formation_energy_uncorrected_ev_per_atom": -0.3181, "rho_g_cm3": 5.7, "vol_a3_per_cell": 2464.1, "lattice_angstrom": [[14.738, 0.000, 0.000], [-4.913, 13.895, 0.000], [-4.913, -6.947, 12.033]], "species": ["Cu", "Cu", "Cu", "Cu", "Cu", "Cu", "Cu", "Cu", "Cu", "Cu", "Cu", "Cu", "Cu", "Cu", "Cu", "Cu", "Cu", "Cu", "Cu", "Cu", "Te", "Te", "Te", "Te", "Te", "Te", "Te", "Te", "Te", "Te", "Te", "Te", "Te", "Te", "Te", "Te", "Te", "Te", "Te", "Te", "Te", "Te", "Te", "Te", "Te", "Te", "Te", "Te", "Te", "Te", "Te", "Te", "Te", "Te", "Te", "Te", "Te", "Te", "Te", "Te", "Te", "Te", "Te", "Te", "Te", "Te", "Te", "Te", "Sr", "Sr", "Sr", "Sr", "Sr", "Sr", "Sr", "Sr", "Sr", "Sr", "Sr", "Sr"], "frac_coords": [[0.250, 0.875, 0.125], [0.750, 0.125, 0.875], [0.375, 0.250, 0.125], [0.625, 0.750, 0.875], [0.000, 0.500, 0.000], [0.125, 0.750, 0.375], [0.750, 0.625, 0.375], [0.250, 0.375, 0.625], [0.000, 0.500, 0.500], [0.875, 0.625, 0.750], [0.500, 0.500, 0.000], [0.625, 0.875, 0.250], [0.500, 0.500, 0.500], [0.875, 0.250, 0.625], [0.000, 0.000, 0.500], [0.000, 0.000, 0.000], [0.125, 0.375, 0.250], [0.375, 0.125, 0.750], [0.500, 0.000, 0.000], [0.500, 0.000, 0.500], [0.413, 0.112, 0.590], [0.087, 0.177, 0.199], [0.112, 0.413, 0.090], [0.522, 0.323, 0.910], [0.177, 0.090, 0.978], [0.410, 0.022, 0.323], [0.478, 0.801, 0.888], [0.301, 0.888, 0.978], [0.388, 0.410, 0.087], [0.612, 0.590, 0.913], [0.199, 0.522, 0.612], [0.978, 0.590, 0.177], [0.888, 0.587, 0.910], [0.910, 0.087, 0.888], [0.413, 0.301, 0.323], [0.587, 0.699, 0.677], [0.801, 0.478, 0.388], [0.323, 0.801, 0.413], [0.888, 0.301, 0.478], [0.910, 0.823, 0.522], [0.913, 0.823, 0.801], [0.301, 0.413, 0.823], [0.823, 0.913, 0.301], [0.978, 0.388, 0.301], [0.199, 0.677, 0.087], [0.801, 0.323, 0.913], [0.478, 0.677, 0.090], [0.590, 0.978, 0.677], [0.522, 0.199, 0.112], [0.090, 0.913, 0.112], [0.677, 0.199, 0.587], [0.699, 0.112, 0.022], [0.823, 0.910, 0.022], [0.087, 0.910, 0.388], [0.112, 0.699, 0.522], [0.410, 0.388, 0.587], [0.323, 0.522, 0.410], [0.677, 0.478, 0.590], [0.090, 0.177, 0.478], [0.699, 0.587, 0.177], [0.587, 0.888, 0.410], [0.177, 0.087, 0.699], [0.022, 0.410, 0.823], [0.388, 0.978, 0.801], [0.022, 0.612, 0.699], [0.612, 0.022, 0.199], [0.913, 0.090, 0.612], [0.590, 0.612, 0.413], [0.125, 0.875, 0.750], [0.625, 0.250, 0.375], [0.625, 0.375, 0.750], [0.875, 0.125, 0.250], [0.250, 0.125, 0.375], [0.875, 0.750, 0.125], [0.750, 0.375, 0.125], [0.375, 0.625, 0.250], [0.375, 0.750, 0.625], [0.125, 0.250, 0.875], [0.250, 0.625, 0.875], [0.750, 0.875, 0.625]]}


(6)
{"formula": "SrCu2Te", "functional": "PBE", "state": "relaxed", "formation_energy_uncorrected_ev_per_atom": -0.2002, "rho_g_cm3": 5.9, "vol_a3_per_cell": 96.7, "lattice_angstrom": [[-3.909, 2.462, -1.839], [-4.472, 0.833, 2.008], [-0.043, 5.015, 2.117]], "species": ["Cu", "Cu", "Sr", "Te"], "frac_coords": [[0.526, 0.526, 0.361], [0.974, 0.974, 0.139], [0.750, 0.750, 0.750], [0.250, 0.250, 0.250]]}